i.
# KTeOs (GGA-PBE, optimized geometry)
data_KTeOs
_chemical_formula_sum 'K1 Te1 Os1'
_symmetry_space_group_name_H-M 'P -6 m 2'
_symmetry_Int_Tables_number 187
_symmetry_space_group_name_Hall 'P -6 2'
_cell_length_a 4.3947
_cell_length_b 4.3947
_cell_length_c 5.5089
_cell_angle_alpha 90.00
_cell_angle_beta 90.00
_cell_angle_gamma 120.00
loop_
_atom_site_label
_atom_site_fract_x
_atom_site_fract_y
_atom_site_fract_z
K1 0.0000 0.0000 0.0000
Te1 0.3333 0.6667 0.5000
Os1 0.6667 0.3333 0.5000
# - Fermi-level density of states (states/eV/cell) = 2.80
# - total moment (μB/f.u.) = 0.00
# - V (Å³ per cell) = 92.1



ii.
# KTeOs (GGA-PBE, optimized geometry)
data_KTeOs
_chemical_formula_sum 'K4 Te4 Os4'
_symmetry_space_group_name_H-M 'F -4 3 m'
_symmetry_Int_Tables_number 216
_symmetry_space_group_name_Hall 'F -4 2 3'
_cell_length_a 7.323
_cell_length_b 7.323
_cell_length_c 7.323
_cell_angle_alpha 90.00
_cell_angle_beta 90.00
_cell_angle_gamma 90.00
loop_
_atom_site_label
_atom_site_fract_x
_atom_site_fract_y
_atom_site_fract_z
K1 0.000 0.000 0.000
Te1 0.250 0.250 0.250
Os1 0.250 0.250 0.750
# - Fermi-level density of states (states/eV/cell) = 38.13
# - total moment (μB/f.u.) = 3.39
# - V (Å³ per cell) = 392.7



Going by the energies, i is most stable and the next is 147.6 kJ/mol of atoms up.



i.
# K2Te2Os (GGA-PBE, optimized geometry)
data_K2Te2Os
_chemical_formula_sum 'K4 Te4 Os2'
_symmetry_space_group_name_H-M 'P 4/m b m'
_symmetry_Int_Tables_number 127
_symmetry_space_group_name_Hall '-P 4 2ab'
_cell_length_a 10.597
_cell_length_b 10.597
_cell_length_c 2.997
_cell_angle_alpha 90.00
_cell_angle_beta 90.00
_cell_angle_gamma 90.00
loop_
_atom_site_label
_atom_site_fract_x
_atom_site_fract_y
_atom_site_fract_z
K1 0.140 0.360 0.000
Te1 0.158 0.658 0.500
Os1 0.000 0.000 0.000
# - Fermi-level density of states (states/eV/cell) = 6.37
# - total moment (μB/f.u.) = 3.62
# - V (Å³ per cell) = 336.5



ii.
# K2Te2Os (GGA-PBE, optimized geometry)
data_K2Te2Os
_chemical_formula_sum 'K4 Te4 Os2'
_symmetry_space_group_name_H-M 'I 4/m m m'
_symmetry_Int_Tables_number 139
_symmetry_space_group_name_Hall '-I 4 2'
_cell_length_a 4.373
_cell_length_b 4.373
_cell_length_c 19.855
_cell_angle_alpha 90.00
_cell_angle_beta 90.00
_cell_angle_gamma 90.00
loop_
_atom_site_label
_atom_site_fract_x
_atom_site_fract_y
_atom_site_fract_z
K1 0.000 0.000 0.102
Te1 0.000 0.500 0.250
Os1 0.000 0.000 0.500
# - Fermi-level density of states (states/eV/cell) = 14.32
# - total moment (μB/f.u.) = 2.89
# - V (Å³ per cell) = 379.8



Going by the energies, i is most stable and the next is 10.6 kJ/mol of atoms up.



i.
# KTlOs2 (GGA-PBE, optimized geometry)
data_KTlOs2
_chemical_formula_sum 'K4 Tl4 Os8'
_symmetry_space_group_name_H-M 'F m -3 m'
_symmetry_Int_Tables_number 225
_symmetry_space_group_name_Hall '-F 4 2 3'
_cell_length_a 6.793
_cell_length_b 6.793
_cell_length_c 6.793
_cell_angle_alpha 90.00
_cell_angle_beta 90.00
_cell_angle_gamma 90.00
loop_
_atom_site_label
_atom_site_fract_x
_atom_site_fract_y
_atom_site_fract_z
K1 0.000 0.000 0.000
Tl1 0.000 0.000 0.500
Os1 0.250 0.250 0.250
# - Fermi-level density of states (states/eV/cell) = 26.77
# - total moment (μB/f.u.) = 2.10
# - V (Å³ per cell) = 313.5



ii.
# KTlOs2 (GGA-PBE, optimized geometry)
data_KTlOs2
_chemical_formula_sum 'K1 Tl1 Os2'
_symmetry_space_group_name_H-M 'P 4/m m m'
_symmetry_Int_Tables_number 123
_symmetry_space_group_name_Hall '-P 4 2'
_cell_length_a 2.754
_cell_length_b 2.754
_cell_length_c 10.661
_cell_angle_alpha 90.00
_cell_angle_beta 90.00
_cell_angle_gamma 90.00
loop_
_atom_site_label
_atom_site_fract_x
_atom_site_fract_y
_atom_site_fract_z
K1 0.000 0.000 0.000
Tl1 0.000 0.000 0.500
Os1 0.500 0.500 0.265
# - Fermi-level density of states (states/eV/cell) = 4.05
# - total moment (μB/f.u.) = 0.00
# - V (Å³ per cell) = 80.8



Going by the energies, ii is most stable and the next is 47.2 kJ/mol of atoms up.



i.
# KTlOs2 (GGA-PBE, optimized geometry)
data_KTlOs2
_chemical_formula_sum 'K1 Tl1 Os2'
_symmetry_space_group_name_H-M 'P m m 2'
_symmetry_Int_Tables_number 25
_cell_length_a 2.831
_cell_length_b 3.813
_cell_length_c 8.575
_cell_angle_alpha 90.00
_cell_angle_beta 90.00
_cell_angle_gamma 90.00
loop_
_symmetry_equiv_pos_as_xyz
'x,y,z'
'-x,-y,z'
'-x,y,z'
'x,-y,z'
loop_
_atom_site_label
_atom_site_fract_x
_atom_site_fract_y
_atom_site_fract_z
K1 0.000 0.000 0.000
Tl1 0.500 0.500 0.333
Os1 0.000 0.000 0.581
Os2 0.500 0.500 0.694
# - Fermi-level density of states (states/eV/cell) = 2.23
# - total moment (μB/f.u.) = 0.00
# - V (Å³ per cell) = 92.6



ii.
# KTlOs2 (GGA-PBE, optimized geometry)
data_KTlOs2
_chemical_formula_sum 'K2 Tl2 Os4'
_symmetry_space_group_name_H-M 'I 4/m m m'
_symmetry_Int_Tables_number 139
_symmetry_space_group_name_Hall '-I 4 2'
_cell_length_a 3.933
_cell_length_b 3.933
_cell_length_c 10.540
_cell_angle_alpha 90.00
_cell_angle_beta 90.00
_cell_angle_gamma 90.00
loop_
_atom_site_label
_atom_site_fract_x
_atom_site_fract_y
_atom_site_fract_z
K1 0.000 0.000 0.000
Tl1 0.000 0.000 0.500
Os1 0.000 0.500 0.250
# - Fermi-level density of states (states/eV/cell) = 9.00
# - total moment (μB/f.u.) = 0.00
# - V (Å³ per cell) = 163.0



iii.
# KTlOs2 (GGA-PBE, optimized geometry)
data_KTlOs2
_chemical_formula_sum 'K2 Tl2 Os4'
_symmetry_space_group_name_H-M 'C 1 m 1'
_symmetry_Int_Tables_number 8
_cell_length_a 8.236
_cell_length_b 2.891
_cell_length_c 8.276
_cell_angle_alpha 90.00
_cell_angle_beta 95.88
_cell_angle_gamma 90.00
loop_
_symmetry_equiv_pos_as_xyz
'x,y,z'
'x,-y,z'
'x+1/2,y+1/2,z'
'x+1/2,-y+1/2,z'
loop_
_atom_site_label
_atom_site_fract_x
_atom_site_fract_y
_atom_site_fract_z
K1 0.000 0.000 0.000
Tl1 0.264 0.500 0.346
Os1 0.234 0.000 0.695
Os2 0.494 0.000 0.593
# - Fermi-level density of states (states/eV/cell) = 5.71
# - total moment (μB/f.u.) = 0.00
# - V (Å³ per cell) = 196.0



iv.
# KTlOs2 (GGA-PBE, optimized geometry)
data_KTlOs2
_chemical_formula_sum 'K3 Tl3 Os6'
_symmetry_space_group_name_H-M 'R -3 m'
_symmetry_Int_Tables_number 166
_symmetry_space_group_name_Hall '-R 3 2"'
_cell_length_a 2.9433
_cell_length_b 2.9433
_cell_length_c 31.0536
_cell_angle_alpha 90.00
_cell_angle_beta 90.00
_cell_angle_gamma 120.00
loop_
_atom_site_label
_atom_site_fract_x
_atom_site_fract_y
_atom_site_fract_z
K1 0.0000 0.0000 0.0000
Tl1 0.0000 0.0000 0.5000
Os1 0.0000 0.0000 0.2405
# - Fermi-level density of states (states/eV/cell) = 8.32
# - total moment (μB/f.u.) = 0.00
# - V (Å³ per cell) = 233.0



Going by the energies, i is most stable and the next is 10.7 kJ/mol of atoms up.



i.
# KTlOs2 (GGA-PBE, optimized geometry)
data_KTlOs2
_chemical_formula_sum 'K2 Tl2 Os4'
_symmetry_space_group_name_H-M 'I m m 2'
_symmetry_Int_Tables_number 44
_cell_length_a 3.981
_cell_length_b 4.830
_cell_length_c 12.242
_cell_angle_alpha 90.00
_cell_angle_beta 90.00
_cell_angle_gamma 90.00
loop_
_symmetry_equiv_pos_as_xyz
'x,y,z'
'-x,-y,z'
'-x,y,z'
'x,-y,z'
'x+1/2,y+1/2,z+1/2'
'-x+1/2,-y+1/2,z+1/2'
'-x+1/2,y+1/2,z+1/2'
'x+1/2,-y+1/2,z+1/2'
loop_
_atom_site_label
_atom_site_fract_x
_atom_site_fract_y
_atom_site_fract_z
K1 0.000 0.000 0.000
Tl1 0.000 0.500 0.231
Os1 0.000 0.000 0.366
Os2 0.000 0.500 0.769
# - Fermi-level density of states (states/eV/cell) = 6.89
# - total moment (μB/f.u.) = 0.00
# - V (Å³ per cell) = 235.4



ii.
# KTlOs2 (GGA-PBE, optimized geometry)
data_KTlOs2
_chemical_formula_sum 'K2 Tl2 Os4'
_symmetry_space_group_name_H-M 'C m m m'
_symmetry_Int_Tables_number 65
_symmetry_space_group_name_Hall '-C 2 2'
_cell_length_a 2.901
_cell_length_b 4.768
_cell_length_c 11.442
_cell_angle_alpha 90.00
_cell_angle_beta 90.00
_cell_angle_gamma 90.00
loop_
_atom_site_label
_atom_site_fract_x
_atom_site_fract_y
_atom_site_fract_z
K1 0.000 0.000 0.000
Tl1 0.000 0.000 0.500
Os1 0.000 0.500 0.254
# - Fermi-level density of states (states/eV/cell) = 8.41
# - total moment (μB/f.u.) = 0.00
# - V (Å³ per cell) = 158.2



Going by the energies, i is most stable and the next is 28.4 kJ/mol of atoms up.



i.
# KTlOs2 (GGA-PBE, optimized geometry)
data_KTlOs2
_chemical_formula_sum 'K2 Tl2 Os4'
_symmetry_space_group_name_H-M 'C 1 2/m 1'
_symmetry_Int_Tables_number 12
_cell_length_a 12.404
_cell_length_b 2.869
_cell_length_c 7.955
_cell_angle_alpha 90.00
_cell_angle_beta 125.64
_cell_angle_gamma 90.00
loop_
_symmetry_equiv_pos_as_xyz
'x,y,z'
'-x,-y,-z'
'-x,y,-z'
'x,-y,z'
'x+1/2,y+1/2,z'
'-x+1/2,-y+1/2,-z'
'-x+1/2,y+1/2,-z'
'x+1/2,-y+1/2,z'
loop_
_atom_site_label
_atom_site_fract_x
_atom_site_fract_y
_atom_site_fract_z
K1 0.000 0.000 0.000
Tl1 0.000 0.500 0.500
Os1 0.202 0.000 0.847
# - Fermi-level density of states (states/eV/cell) = 7.66
# - total moment (μB/f.u.) = 0.00
# - V (Å³ per cell) = 230.1



ii.
# KTlOs2 (GGA-PBE, optimized geometry)
data_KTlOs2
_chemical_formula_sum 'K4 Tl4 Os8'
_symmetry_space_group_name_H-M 'F -4 3 m'
_symmetry_Int_Tables_number 216
_symmetry_space_group_name_Hall 'F -4 2 3'
_cell_length_a 6.732
_cell_length_b 6.732
_cell_length_c 6.732
_cell_angle_alpha 90.00
_cell_angle_beta 90.00
_cell_angle_gamma 90.00
loop_
_atom_site_label
_atom_site_fract_x
_atom_site_fract_y
_atom_site_fract_z
K1 0.000 0.000 0.000
Tl1 0.250 0.250 0.250
Os1 0.000 0.000 0.500
Os2 0.250 0.250 0.750
# - Fermi-level density of states (states/eV/cell) = 14.38
# - total moment (μB/f.u.) = 0.00
# - V (Å³ per cell) = 305.1



iii.
# KTlOs2 (GGA-PBE, optimized geometry)
data_KTlOs2
_chemical_formula_sum 'K2 Tl2 Os4'
_symmetry_space_group_name_H-M 'C 1 2/m 1'
_symmetry_Int_Tables_number 12
_cell_length_a 5.728
_cell_length_b 11.232
_cell_length_c 2.748
_cell_angle_alpha 90.00
_cell_angle_beta 116.41
_cell_angle_gamma 90.00
loop_
_symmetry_equiv_pos_as_xyz
'x,y,z'
'-x,-y,-z'
'-x,y,-z'
'x,-y,z'
'x+1/2,y+1/2,z'
'-x+1/2,-y+1/2,-z'
'-x+1/2,y+1/2,-z'
'x+1/2,-y+1/2,z'
loop_
_atom_site_label
_atom_site_fract_x
_atom_site_fract_y
_atom_site_fract_z
K1 0.000 0.000 0.000
Tl1 0.000 0.500 0.000
Os1 0.250 0.250 0.500
# - Fermi-level density of states (states/eV/cell) = 8.57
# - total moment (μB/f.u.) = 0.00
# - V (Å³ per cell) = 158.3



Going by the energies, i is most stable and the next is 34.0 kJ/mol of atoms up.



i.
# KTlOs2 (GGA-PBE, optimized geometry)
data_KTlOs2
_chemical_formula_sum 'K1 Tl1 Os2'
_symmetry_space_group_name_H-M 'P m m m'
_symmetry_Int_Tables_number 47
_cell_length_a 2.834
_cell_length_b 5.067
_cell_length_c 5.468
_cell_angle_alpha 90.00
_cell_angle_beta 90.00
_cell_angle_gamma 90.00
loop_
_symmetry_equiv_pos_as_xyz
'x,y,z'
'-x,-y,-z'
'-x,-y,z'
'x,y,-z'
'x,-y,-z'
'-x,y,z'
'-x,y,-z'
'x,-y,z'
loop_
_atom_site_label
_atom_site_fract_x
_atom_site_fract_y
_atom_site_fract_z
K1 0.000 0.000 0.000
Tl1 0.500 0.500 0.000
Os1 0.000 0.500 0.500
Os2 0.500 0.000 0.500
# - Fermi-level density of states (states/eV/cell) = 3.71
# - total moment (μB/f.u.) = 1.17
# - V (Å³ per cell) = 78.5



ii.
# KTlOs2 (GGA-PBE, optimized geometry)
data_KTlOs2
_chemical_formula_sum 'K2 Tl2 Os4'
_symmetry_space_group_name_H-M 'C m m m'
_symmetry_Int_Tables_number 65
_symmetry_space_group_name_Hall '-C 2 2'
_cell_length_a 5.830
_cell_length_b 10.440
_cell_length_c 2.655
_cell_angle_alpha 90.00
_cell_angle_beta 90.00
_cell_angle_gamma 90.00
loop_
_atom_site_label
_atom_site_fract_x
_atom_site_fract_y
_atom_site_fract_z
K1 0.000 0.000 0.000
Tl1 0.000 0.500 0.000
Os1 0.250 0.250 0.500
# - Fermi-level density of states (states/eV/cell) = 9.24
# - total moment (μB/f.u.) = 0.00
# - V (Å³ per cell) = 161.6



Going by the energies, i is most stable and the next is 7.3 kJ/mol of atoms up.



i.
# KTlOs2 (GGA-PBE, optimized geometry)
data_KTlOs2
_chemical_formula_sum 'K1 Tl1 Os2'
_symmetry_space_group_name_H-M 'P m m m'
_symmetry_Int_Tables_number 47
_cell_length_a 2.794
_cell_length_b 4.906
_cell_length_c 6.897
_cell_angle_alpha 90.00
_cell_angle_beta 90.00
_cell_angle_gamma 90.00
loop_
_symmetry_equiv_pos_as_xyz
'x,y,z'
'-x,-y,-z'
'-x,-y,z'
'x,y,-z'
'x,-y,-z'
'-x,y,z'
'-x,y,-z'
'x,-y,z'
loop_
_atom_site_label
_atom_site_fract_x
_atom_site_fract_y
_atom_site_fract_z
K1 0.000 0.000 0.000
Tl1 0.000 0.000 0.500
Os1 0.500 0.500 0.333
# - Fermi-level density of states (states/eV/cell) = 4.05
# - total moment (μB/f.u.) = 0.43
# - V (Å³ per cell) = 94.5



ii.
# KTlOs2 (GGA-PBE, optimized geometry)
data_KTlOs2
_chemical_formula_sum 'K1 Tl1 Os2'
_symmetry_space_group_name_H-M 'P 4/m m m'
_symmetry_Int_Tables_number 123
_symmetry_space_group_name_Hall '-P 4 2'
_cell_length_a 3.963
_cell_length_b 3.963
_cell_length_c 5.110
_cell_angle_alpha 90.00
_cell_angle_beta 90.00
_cell_angle_gamma 90.00
loop_
_atom_site_label
_atom_site_fract_x
_atom_site_fract_y
_atom_site_fract_z
K1 0.000 0.000 0.000
Tl1 0.500 0.500 0.000
Os1 0.000 0.500 0.500
# - Fermi-level density of states (states/eV/cell) = 4.47
# - total moment (μB/f.u.) = 0.00
# - V (Å³ per cell) = 80.2



iii.
# KTlOs2 (GGA-PBE, optimized geometry)
data_KTlOs2
_chemical_formula_sum 'K1 Tl1 Os2'
_symmetry_space_group_name_H-M 'P 1 2/m 1'
_symmetry_Int_Tables_number 10
_cell_length_a 2.713
_cell_length_b 5.535
_cell_length_c 5.995
_cell_angle_alpha 90.00
_cell_angle_beta 90.69
_cell_angle_gamma 90.00
loop_
_symmetry_equiv_pos_as_xyz
'x,y,z'
'-x,-y,-z'
'-x,y,-z'
'x,-y,z'
loop_
_atom_site_label
_atom_site_fract_x
_atom_site_fract_y
_atom_site_fract_z
K1 0.000 0.000 0.000
Tl1 0.500 0.000 0.500
Os1 0.493 0.500 0.808
# - Fermi-level density of states (states/eV/cell) = 2.48
# - total moment (μB/f.u.) = 0.00
# - V (Å³ per cell) = 90.0



iv.
# KTlOs2 (GGA-PBE, optimized geometry)
data_KTlOs2
_chemical_formula_sum 'K1 Tl1 Os2'
_symmetry_space_group_name_H-M 'P 4 m m'
_symmetry_Int_Tables_number 99
_cell_length_a 2.999
_cell_length_b 2.999
_cell_length_c 9.555
_cell_angle_alpha 90.00
_cell_angle_beta 90.00
_cell_angle_gamma 90.00
loop_
_symmetry_equiv_pos_as_xyz
'x,y,z'
'-y,x,z'
'-x,-y,z'
'y,-x,z'
'-x,y,z'
'y,x,z'
'x,-y,z'
'-y,-x,z'
loop_
_atom_site_label
_atom_site_fract_x
_atom_site_fract_y
_atom_site_fract_z
K1 0.000 0.000 0.000
Tl1 0.500 0.500 0.685
Os1 0.000 0.000 0.440
Os2 0.500 0.500 0.291
# - Fermi-level density of states (states/eV/cell) = 4.92
# - total moment (μB/f.u.) = 0.00
# - V (Å³ per cell) = 85.9



Going by the energies, iv is most stable and the next is 59.2 kJ/mol of atoms up.